Entry 1:
Entry from Alexandria via LeMat-Bulk: a relaxed structure of Sm4Dy19Er6 (PBE).

Summary:
Density of states at the Fermi level in states/eV/atom: 1.5158
Space-group type: I23, No. 197
Energy relative to the elements in eV/atom: 0.393

POSCAR file:
```
Sm4Dy19Er6
1.0
10.158 0.000 -3.591
-5.079 8.797 -3.591
0.000 0.000 10.774
Dy Er Sm
19 6 4
Cartesian
3.382 0.112 7.329
-0.566 4.765 -0.538
1.236 5.925 3.053
-2.414 8.797 -1.707
6.379 2.985 -3.945
-0.670 6.905 6.645
6.411 6.489 1.707
2.959 8.685 -2.846
0.963 1.892 4.336
1.333 2.308 -1.884
7.493 0.000 5.298
4.474 1.780 -0.354
-3.921 7.017 0.745
8.370 2.873 3.738
0.000 0.000 0.000
4.383 4.032 3.237
3.746 6.489 5.476
-1.332 2.308 1.884
3.485 5.812 0.147
1.258 4.399 6.276
6.977 3.288 0.906
0.641 7.687 -0.906
-1.898 5.509 2.685
3.821 4.398 -2.685
4.438 1.110 4.498
0.000 0.000 6.908
6.901 5.640 -5.894
6.513 0.000 -2.303
1.822 3.157 1.289
```


Entry 2:
Entry from Alexandria via LeMat-Bulk: a relaxed structure of Sm3Dy4Er8 (PBE).

Summary:
Density of states at the Fermi level in states/eV/atom: 2.0995
Space-group type: C2/m, No. 12
Energy relative to the elements in eV/atom: 0.398

POSCAR file:
```
Sm3Dy4Er8
1.0
11.492 -0.174 -0.249
-5.653 7.247 -0.783
-5.653 -3.250 6.524
Sm Dy Er
3 4 8
Cartesian
0.093 1.911 2.746
2.920 3.537 -0.516
2.920 -1.712 3.137
-2.826 3.623 -0.392
5.746 -0.087 -0.125
0.000 0.000 0.000
-2.826 -1.625 3.262
-5.653 0.548 3.880
8.490 0.847 1.217
3.134 0.967 1.389
-8.304 2.975 4.274
0.093 4.581 0.887
-2.948 2.856 4.102
0.093 -0.758 4.604
-5.653 3.448 1.861
```


Entry 3:
Entry from Alexandria via LeMat-Bulk: a relaxed structure of Sm12Dy2Er5 (PBE).

Summary:
Density of states at the Fermi level in states/eV/atom: 1.4018
Relative energy among the computed polymorphs in meV per atom: 32
Space-group type: C2/m, No. 12
Energy relative to the elements in eV/atom: 0.136

POSCAR file:
```
Sm12Dy2Er5
1.0
-4.416 3.012 8.823
-4.243 -5.325 -6.336
2.536 -6.655 3.541
Er Sm Dy
5 12 2
Cartesian
-4.267 -3.700 5.158
-1.856 -5.267 0.870
-1.853 -5.720 7.056
-4.269 -3.247 -1.028
1.268 -3.328 1.771
-5.334 -0.509 6.772
-5.100 -4.913 1.858
-3.098 -6.278 -2.140
-6.489 -1.981 3.459
-1.023 -4.055 4.170
-3.977 -8.146 0.791
-2.146 -0.822 5.237
0.366 -6.987 2.569
-3.159 -6.842 3.993
-0.788 -8.459 -0.744
-3.024 -2.689 8.168
-2.963 -2.126 2.035
-1.117 0.762 2.233
-3.298 2.250 6.590
```


Entry 4:
Entry from Alexandria via LeMat-Bulk: a relaxed structure of SmDy7Er12 (PBE).

Summary:
Density of states at the Fermi level in states/eV/atom: 0.8682
Relative energy among the computed polymorphs in meV per atom: 0
Space-group type: R-3, No. 148
Energy relative to the elements in eV/atom: 0.306

POSCAR file:
```
SmDy7Er12
1.0
-4.028 -1.134 -7.533
-4.816 -5.690 4.323
-4.637 6.878 2.335
Dy Er Sm
7 12 1
Cartesian
-1.890 0.067 -2.383
-6.741 0.027 -0.437
-11.376 -1.879 -1.919
-2.114 -1.975 0.942
-2.105 1.933 1.045
-11.367 2.029 -1.817
-11.591 -0.013 1.509
-7.643 2.344 -3.437
-4.813 0.763 1.806
-5.659 3.720 0.170
-4.563 1.477 -2.002
-8.668 -0.709 -2.681
-5.838 -2.290 2.562
-8.918 -1.423 1.127
-4.661 -2.184 -0.716
-8.820 2.238 -0.159
-5.420 -1.362 -3.829
-8.061 1.416 2.954
-7.822 -3.666 -1.044
0.000 0.000 0.000
```


Entry 5:
Entry from Alexandria via LeMat-Bulk: a relaxed structure of Sm8Dy2Er (PBE).

Summary:
Density of states at the Fermi level in states/eV/atom: 1.6103
Relative energy among the computed polymorphs in meV per atom: 46
Space-group type: C2/m, No. 12
Energy relative to the elements in eV/atom: 0.170

POSCAR file:
```
Sm8Dy2Er
1.0
6.307 1.785 1.355
2.147 9.582 3.036
2.147 5.504 8.410
Sm Dy Er
8 2 1
Cartesian
7.128 10.230 7.762
3.965 10.239 5.753
6.636 6.632 7.048
6.636 8.573 4.489
6.270 5.165 3.919
4.331 11.706 8.882
3.473 6.641 5.039
3.965 8.298 8.312
3.430 3.713 2.817
7.171 13.158 9.984
0.000 0.000 0.000
```


Entry 6:
Entry from Alexandria via LeMat-Bulk: a relaxed structure of SmDy12Er7 (PBE).

Summary:
Density of states at the Fermi level in states/eV/atom: 0.9024
Relative energy among the computed polymorphs in meV per atom: 0
Space-group type: R-3, No. 148
Energy relative to the elements in eV/atom: 0.304

POSCAR file:
```
SmDy12Er7
1.0
8.542 0.747 1.122
-1.657 8.413 1.122
-1.657 -2.205 8.196
Dy Er Sm
12 7 1
Cartesian
1.167 0.171 6.715
5.387 1.208 6.775
5.453 4.420 5.915
2.091 6.282 6.357
-0.225 2.535 4.525
5.565 2.825 2.745
2.730 2.968 8.246
3.136 0.673 4.082
4.061 6.784 3.725
-0.337 4.130 7.695
2.498 3.988 2.193
-0.160 5.747 3.664
2.832 0.216 1.071
5.808 7.037 7.461
5.145 3.983 9.828
2.395 6.739 9.368
0.082 2.972 0.612
-0.580 -0.082 2.979
2.614 3.478 5.220
0.000 0.000 0.000
```